Density functional theory data (GGA-PBEsol) for Li4V3Ni2Sn3O16 after structural relaxation.

Cell: 6.064 5.991 9.584 Å, 89.00 90.02 60.02°
Each line ends with the local moment (μB).
Element x y z (fractional)
O 0.667 0.183 0.893  -0.01
O 0.326 0.846 0.392  0.03
O 0.493 0.453 0.164  0.08
O 0.518 0.516 0.665  0.01
O 0.990 0.016 0.682  0.05
O 0.352 0.290 0.388  -0.03
O 0.148 0.691 0.915  0.06
O 0.788 0.354 0.409  0.07
O 0.045 0.448 0.165  0.06
O 0.501 0.996 0.148  0.07
O 0.670 0.652 0.903  0.08
O 0.955 0.512 0.661  0.00
O 0.829 0.864 0.399  -0.01
O 0.998 0.026 0.195  0.10
O 0.509 0.972 0.657  0.03
O 0.136 0.185 0.896  0.09
Li 0.691 0.614 0.104  0.00
Li 0.024 0.020 0.500  1.24
Li 0.966 0.040 0.010  0.00
Li 0.331 0.333 0.604  0.86
Sn 0.160 0.654 0.286  1.55
Sn 0.827 0.833 0.786  1.49
Sn 0.331 0.835 0.792  0.85
Ni 0.653 0.681 0.518  0.00
Ni 0.331 0.331 0.011  0.00
V 0.687 0.198 0.308  0.00
V 0.823 0.341 0.784  0.04
V 0.251 0.114 0.256  0.04

Calculated values
- Final energy: -195.7 eV/f.u.
- Energy relative to the elements, uncorrected: -49.87 eV/f.u.